The following is a DFT calculation (GGA-PBE) of a relaxed BaCoCl2 crystal.

Properties
Symmetry: Immm
Uncorrected formation energy: -3.8 eV/f.u.
Size of the total moment: 1.07 μB/cell
VASP energy: -16.5 eV per formula unit

The structure in extended XYZ format:
```
4
Lattice="-1.898 2.871 4.235 1.898 -2.871 4.235 1.898 2.871 -4.235" Properties=species:S:1:pos:R:3 pbc="T T T"
Ba 0.000 0.000 0.000
Co 0.000 0.000 4.235
Cl 1.898 0.000 2.710
Cl 0.000 2.871 1.525
```


The following is a DFT calculation (GGA-PBE) of a relaxed Ba2CoCl crystal.

Properties
Symmetry: Fm-3m
Uncorrected formation energy: -1.4 eV/f.u.
Size of the total moment: 0.24 μB/cell
VASP energy: -14.2 eV per formula unit

The structure in extended XYZ format:
```
4
Lattice="0.000 3.904 3.904 3.904 0.000 3.904 3.904 3.904 0.000" Properties=species:S:1:pos:R:3 pbc="T T T"
Ba 1.952 1.952 1.952
Ba 5.856 5.856 5.856
Co 0.000 0.000 0.000
Cl 3.904 3.904 3.904
```


The following is a DFT calculation (GGA-PBE) of a relaxed BaCoCl2 crystal.

Properties
Symmetry: I-4m2
Uncorrected formation energy: -2.6 eV/f.u.
Size of the total moment: 1.78 μB/cell
VASP energy: -15.4 eV per formula unit

The structure in extended XYZ format:
```
4
Lattice="-2.158 2.158 5.629 2.158 -2.158 5.629 2.158 2.158 -5.629" Properties=species:S:1:pos:R:3 pbc="T T T"
Ba 0.000 0.000 0.000
Co 0.000 2.158 2.815
Cl 2.158 0.000 2.815
Cl 0.000 0.000 5.629
```


The following is a DFT calculation (GGA-PBE) of a relaxed BaCoCl2 crystal.

Properties
Symmetry: R-3m
Uncorrected formation energy: -2.3 eV/f.u.
Size of the total moment: 2.19 μB/cell
VASP energy: -15.0 eV per formula unit

The structure in extended XYZ format:
```
4
Lattice="1.978 1.142 8.398 -1.978 1.142 8.398 0.000 -2.284 8.398" Properties=species:S:1:pos:R:3 pbc="T T T"
Ba 0.000 0.000 0.000
Co 0.000 0.000 12.597
Cl 0.000 0.000 3.025
Cl 0.000 0.000 22.169
```


The following is a DFT calculation (GGA-PBE) of a relaxed BaCo2Cl crystal.

Properties
Symmetry: F-43m
Uncorrected formation energy: 1.8 eV/f.u.
Size of the total moment: 3.83 μB/cell
VASP energy: -16.2 eV per formula unit

The structure in extended XYZ format:
```
4
Lattice="0.000 3.558 3.558 3.558 0.000 3.558 3.558 3.558 0.000" Properties=species:S:1:pos:R:3 pbc="T T T"
Ba 0.000 0.000 0.000
Co 1.779 1.779 1.779
Co 3.558 3.558 3.558
Cl 5.337 5.337 5.337
```


The following is a DFT calculation (GGA-PBE) of a relaxed BaCo2Cl crystal.

Properties
Symmetry: P4mm
Uncorrected formation energy: -0.2 eV/f.u.
Size of the total moment: 3.19 μB/cell
VASP energy: -18.2 eV per formula unit

The structure in extended XYZ format:
```
4
Lattice="3.462 0.000 0.000 0.000 3.462 0.000 0.000 0.000 8.114" Properties=species:S:1:pos:R:3 pbc="T T T"
Ba 0.000 0.000 0.000
Co 0.000 0.000 5.159
Co 1.731 1.731 5.498
Cl 1.731 1.731 1.805
```


The following is a DFT calculation (GGA-PBE) of a relaxed BaCoCl2 crystal.

Properties
Symmetry: P4/mmm
Uncorrected formation energy: -2.2 eV/f.u.
Size of the total moment: 2.75 μB/cell
VASP energy: -15.0 eV per formula unit

The structure in extended XYZ format:
```
4
Lattice="3.998 0.000 0.000 0.000 3.998 0.000 0.000 0.000 6.828" Properties=species:S:1:pos:R:3 pbc="T T T"
Ba 0.000 0.000 0.000
Co 0.000 0.000 3.414
Cl 1.999 1.999 1.637
Cl 1.999 1.999 5.190
```


The following is a DFT calculation (GGA-PBE) of a relaxed BaCo2Cl crystal.

Properties
Symmetry: Pm
Uncorrected formation energy: -0.3 eV/f.u.
Size of the total moment: 3.34 μB/cell
VASP energy: -18.3 eV per formula unit

The structure in extended XYZ format:
```
4
Lattice="3.576 0.000 0.000 0.000 3.454 0.000 -1.776 0.000 7.208" Properties=species:S:1:pos:R:3 pbc="T T T"
Ba 0.000 0.000 0.000
Co -0.013 1.727 2.858
Co 1.782 0.000 2.599
Cl 0.012 1.727 5.371
```


Asked for V across the records above, the calculation gives 92; 119; 105; 114; 90; 97; 109; 89 Å³ per cell in order.